Compound: Pr6Sb3P2S
Source: the Alexandria database
Functional: PBE-GGA
Structure: relaxed

The structure in extended XYZ format:
```
12
Lattice="9.538 -2.175 0.000 9.538 2.175 0.000 -2.108 0.000 8.518" Properties=species:S:1:pos:R:3 pbc="T T T"
Pr -0.400 0.000 2.062
Pr 5.355 0.000 3.657
Pr 4.517 0.000 7.686
Pr 12.452 0.000 0.831
Pr 11.614 0.000 4.861
Pr 17.369 0.000 6.456
Sb 1.401 0.000 7.102
Sb 8.485 0.000 4.259
Sb 15.568 0.000 1.416
P 2.472 0.000 2.829
P 14.498 0.000 5.689
S 9.538 0.000 0.000
```

Values from the calculation:
- crystal system = monoclinic
- space-group type = C2/m (12)
- ρ (g cm⁻³) = 6.1

Compound: NaUTiSe4
Source: the Alexandria database
Functional: PBE-GGA
Structure: relaxed

The structure in extended XYZ format:
```
14
Lattice="-3.919 4.418 5.386 3.919 -4.418 5.386 3.919 4.418 -5.386" Properties=species:S:1:pos:R:3 pbc="T T T"
Na 0.000 2.209 1.812
Na 3.919 2.209 3.574
U 3.919 0.000 0.000
U 0.000 0.000 5.386
Ti 1.960 2.209 -2.693
Ti 1.960 -2.209 2.693
Se 3.919 3.967 -2.785
Se 3.919 -0.451 2.785
Se 2.107 2.209 -0.049
Se 5.731 2.209 -0.049
Se -1.812 2.209 5.436
Se 1.812 2.209 5.436
Se 0.000 4.870 2.601
Se 0.000 0.451 8.171
```

Values from the calculation:
- crystal system = orthorhombic
- space-group type = Imma (74)
- ρ (g cm⁻³) = 5.6

Compound: Ho3TmPd
Source: the Alexandria database
Functional: PBE-GGA
Structure: relaxed

The structure in extended XYZ format:
```
10
Lattice="5.710 -4.215 0.000 5.710 4.215 0.000 -4.863 0.000 6.133" Properties=species:S:1:pos:R:3 pbc="T T T"
Ho -1.064 0.000 1.924
Ho 2.070 1.680 1.602
Ho 2.070 -1.680 1.602
Ho 4.485 1.680 4.531
Ho 4.485 -1.680 4.531
Ho 7.620 0.000 4.210
Tm 1.342 0.000 4.463
Tm 5.214 0.000 1.670
Pd -1.377 0.000 5.627
Pd 7.933 0.000 0.506
```

Values from the calculation:
- crystal system = monoclinic
- distance to the lowest polymorph of the same formula (meV/atom) = 95
- formation energy from the elements (kJ/mol of formula units) = -131
- space-group type = C2/m (12)
- ρ (g cm⁻³) = 8.7

Compound: Mn2TePt
Source: the Alexandria database
Functional: PBE-GGA
Structure: relaxed

The structure in extended XYZ format:
```
4
Lattice="3.518 0.000 0.000 0.000 3.518 0.000 0.000 0.000 5.675" Properties=species:S:1:pos:R:3 pbc="T T T"
Mn 0.000 0.000 1.342
Mn 0.000 0.000 4.334
Te 1.759 1.759 2.838
Pt 1.759 1.759 0.000
```

Values from the calculation:
- crystal system = tetragonal
- space-group type = P4/mmm (123)
- ρ (g cm⁻³) = 10.2

Compound: Tm4Te2PbS
Source: the Alexandria database
Functional: PBE-GGA
Structure: relaxed

The structure in extended XYZ format:
```
8
Lattice="7.288 0.000 0.000 0.000 4.210 0.000 -2.428 0.000 6.989" Properties=species:S:1:pos:R:3 pbc="T T T"
Tm 1.099 0.000 1.514
Tm -0.119 2.105 5.384
Tm 4.979 2.105 1.605
Tm 3.762 0.000 5.475
Te -1.214 0.000 3.495
Te 2.430 2.105 3.495
Pb 3.644 0.000 0.000
S 0.000 2.105 0.000
```

Values from the calculation:
- crystal system = monoclinic
- space-group type = P2/m (10)
- ρ (g cm⁻³) = 9.1

Compound: SmScAs2O8
Source: the Alexandria database
Functional: PBE-GGA
Structure: relaxed

The structure in extended XYZ format:
```
12
Lattice="5.471 0.000 0.000 -2.736 4.738 0.000 0.000 0.000 6.800" Properties=species:S:1:pos:R:3 pbc="T T T"
Sm 0.000 0.000 0.000
Sc 0.000 0.000 3.400
As 0.000 3.159 1.431
As 2.736 1.579 5.369
O 0.000 1.528 1.970
O -1.412 3.974 1.970
O 1.323 0.764 4.829
O 0.000 3.159 6.541
O 2.736 1.579 0.258
O 1.412 3.974 1.970
O 4.148 0.764 4.829
O 2.736 3.210 4.829
```

Values from the calculation:
- crystal system = trigonal
- space-group type = P-3m1 (164)
- ρ (g cm⁻³) = 4.5

Compound: Ce3Nd2HoP6
Source: the Alexandria database
Functional: PBE-GGA
Structure: relaxed

The structure in extended XYZ format:
```
12
Lattice="3.549 -6.148 0.000 3.549 6.148 0.000 -2.368 0.000 6.685" Properties=species:S:1:pos:R:3 pbc="T T T"
Ce 0.000 0.000 0.000
Ce 3.549 2.062 0.000
Ce 3.549 -2.062 0.000
Nd 2.365 4.103 3.342
Nd 2.365 -4.103 3.342
Ho 2.365 0.000 3.342
P 1.205 2.011 1.648
P 0.044 0.000 5.044
P 1.205 -2.011 1.648
P 3.525 2.011 5.037
P 4.686 0.000 1.641
P 3.525 -2.011 5.037
```

Values from the calculation:
- crystal system = monoclinic
- formation energy from the elements (kJ/mol of formula units) = -1774
- space-group type = C2/m (12)
- ρ (g cm⁻³) = 6.0

Compound: AcPr3Se6
Source: the Alexandria database
Functional: PBE-GGA
Structure: relaxed

The structure in extended XYZ format:
```
20
Lattice="12.048 0.000 0.000 0.000 4.358 0.000 -3.962 0.000 11.741" Properties=species:S:1:pos:R:3 pbc="T T T"
Ac -0.175 1.090 2.271
Ac 8.261 3.269 9.470
Pr -0.394 1.090 6.887
Pr -0.102 3.269 11.724
Pr 4.002 1.090 3.902
Pr 4.084 3.269 7.838
Pr 8.188 1.090 0.016
Pr 8.480 3.269 4.854
Se -0.586 3.269 4.752
Se -2.392 1.090 11.314
Se -0.625 3.269 8.800
Se 2.272 3.269 2.673
Se 2.546 1.090 6.550
Se 5.347 1.090 1.313
Se 2.739 3.269 10.428
Se 5.539 3.269 5.190
Se 5.813 1.090 9.067
Se 8.711 1.090 2.941
Se 10.478 3.269 0.427
Se 8.671 1.090 6.988
```

Values from the calculation:
- crystal system = monoclinic
- distance to the lowest polymorph of the same formula (meV/atom) = 0
- space-group type = P2_1/m (11)
- ρ (g cm⁻³) = 6.1

For the records above, the corresponding volume values read 353; 373; 295; 70; 214; 176; 292; 616 Å³ per cell.
For the records above, the corresponding energy values read -6.091; -6.053; -4.951; -6.846; -5.176; -7.176; -6.897; -5.862 eV/atom.